{"formula": "Tm2PuO", "functional": "PBE", "state": "optimized geometry", "lattice_angstrom": [[3.071, 0.000, 0.000], [0.000, 3.071, 0.000], [0.000, 0.000, 8.586]], "species": ["Tm", "Tm", "O", "Pu"], "frac_coords": [[0.000, 0.000, 0.819], [0.000, 0.000, 0.181], [0.500, 0.500, 0.000], [0.500, 0.500, 0.500]], "dft_energy_ev_per_atom": -7.87, "spacegroup": "P4/mmm, No. 123", "e_form_raw_ev_per_atom": -0.810, "magmom_total_mub_per_fu": 5.71}